A relaxed Bi2Au2Se crystal, computed with PBE.

a b c (Å): 3.919 3.919 8.630
angles (deg): 76.88 76.88 90.00
Positions (direct):
Au 0.750 0.250 0.500
Au 0.250 0.750 0.500
Bi 0.394 0.394 0.212
Bi 0.606 0.606 0.788
Se 0.000 0.000 0.000

## Properties
SG: I4/mmm, No. 139
Fermi-level density of states in states/eV/f.u.: 2.968
E in eV per atom: -3.564
Total magnetization in μB per cell: 0.000


A relaxed BiAuSe3 crystal, computed with PBE.

a b c (Å): 5.331 8.660 7.666
angles (deg): 107.77 90.00 107.93
Positions (direct):
Au 0.836 0.671 0.062
Au 0.164 0.329 0.938
Bi 0.348 0.697 0.674
Bi 0.652 0.303 0.326
Se 0.826 0.653 0.493
Se 0.174 0.347 0.507
Se 0.996 0.991 0.152
Se 0.326 0.653 0.030
Se 0.674 0.347 0.970
Se 0.004 0.009 0.848

## Properties
SG: C2/m, No. 12
Fermi-level density of states in states/eV/f.u.: 0.410
E in eV per atom: -3.629
Total magnetization in μB per cell: 0.000


A relaxed BiAu3Se crystal, computed with PBE.

a b c (Å): 5.392 5.392 5.392
angles (deg): 90.00 90.00 90.00
Site moments in Bohr magnetons follow the coordinates.
Positions (direct):
Au 0.000 0.500 0.000  0.12
Au 0.000 0.000 0.500  0.03
Au 0.500 0.000 0.000  0.12
Se 0.500 0.500 0.500  0.96
Bi 0.000 0.000 0.000  0.12

## Properties
SG: Pm-3m, No. 221
Fermi-level density of states in states/eV/f.u.: 2.364
E in eV per atom: -2.609
Total magnetization in μB per cell: 1.960


Copy entry 2 word for word.
A relaxed BiAuSe3 crystal, computed with PBE.

a b c (Å): 5.331 8.660 7.666
angles (deg): 107.77 90.00 107.93
Positions (direct):
Au 0.836 0.671 0.062
Au 0.164 0.329 0.938
Bi 0.348 0.697 0.674
Bi 0.652 0.303 0.326
Se 0.826 0.653 0.493
Se 0.174 0.347 0.507
Se 0.996 0.991 0.152
Se 0.326 0.653 0.030
Se 0.674 0.347 0.970
Se 0.004 0.009 0.848

## Properties
SG: C2/m, No. 12
Fermi-level density of states in states/eV/f.u.: 0.410
E in eV per atom: -3.629
Total magnetization in μB per cell: 0.000


Among the records above, which one has the highest E? BiAu3Se


What is the formula in the second record? BiAuSe3


Please write out number 3 again, unchanged.
A relaxed BiAu3Se crystal, computed with PBE.

a b c (Å): 5.392 5.392 5.392
angles (deg): 90.00 90.00 90.00
Site moments in Bohr magnetons follow the coordinates.
Positions (direct):
Au 0.000 0.500 0.000  0.12
Au 0.000 0.000 0.500  0.03
Au 0.500 0.000 0.000  0.12
Se 0.500 0.500 0.500  0.96
Bi 0.000 0.000 0.000  0.12

## Properties
SG: Pm-3m, No. 221
Fermi-level density of states in states/eV/f.u.: 2.364
E in eV per atom: -2.609
Total magnetization in μB per cell: 1.960